(1)
First-principles (PBE) data for a relaxed structure of U3Mn4C4, as listed in the Alexandria database.

As for the total magnetic moment: 5.7 μB per cell. Its density of states at the Fermi level is 13.85 states/eV/f.u. The value obtained for the formation energy is 0.1 eV/f.u.

The space group is Immm (No. 71) and the conventional cell measures 3.141, 6.820 and 12.055 Å, with angles of 90.00, 90.00 and 90.00 degrees. The distinct sites, in fractional coordinates, are U at (0.000, 0.000, 0.000), U at (0.000, 0.500, 0.103), Mn at (0.000, 0.310, 0.325), C at (0.000, 0.000, 0.223) and C at (0.000, 0.226, 0.500).

(2)
First-principles (PBE) data for a relaxed structure of UMnC2, as listed in the Alexandria database.

As for the total magnetic moment: 12.4 μB per cell. Its density of states at the Fermi level is 3.80 states/eV/f.u. The value obtained for the formation energy is 2.1 eV/f.u.

The space group is R-3m (No. 166, hexagonal axes) and the conventional cell measures 3.6620, 3.6620 and 16.9163 Å, with angles of 90.00, 90.00 and 120.00 degrees. The distinct sites, in fractional coordinates, are U at (0.0000, 0.0000, 0.0000), Mn at (0.0000, 0.0000, 0.5000) and C at (0.0000, 0.0000, 0.3868).

(3)
First-principles (PBE) data for a relaxed structure of U2MnC2, as listed in the Alexandria database.

As for the total magnetic moment: 0.3 μB per cell. Its density of states at the Fermi level is 5.75 states/eV/f.u. The value obtained for the formation energy is -0.6 eV/f.u. The energy above the most stable polymorph in this dataset comes out at 0.054 eV/atom.

The space group is Cmc2_1 (No. 36) and the conventional cell measures 3.037, 16.545 and 5.205 Å, with angles of 90.00, 90.00 and 90.00 degrees. The distinct sites, in fractional coordinates, are U at (0.000, 0.028, 0.000), U at (0.000, 0.185, 0.821), Mn at (0.000, 0.367, 0.842), C at (0.000, 0.206, 0.328) and C at (0.000, 0.423, 0.165).